*A*
PBE DyIrAu, optimized geometry; magnetic moment = 0.000 μB per formula unit; crystal system = tetragonal; space group = I4/mmm (139)
1.0
-1.8083 1.8083 10.0875
1.8083 -1.8083 10.0875
1.8083 1.8083 -10.0875
Dy Ir Au
2 2 2
Cartesian
0.0000 0.0000 2.9382
0.0000 0.0000 17.2368
0.0000 0.0000 5.8583
0.0000 0.0000 14.3166
0.0000 0.0000 8.7690
0.0000 0.0000 11.4059

=====

*B*
PBE DyIrAu, optimized geometry; magnetic moment = 0.000 μB per formula unit; crystal system = tetragonal; space group = I4mm (107)
1.0
-1.7886 1.7886 4.6315
1.7886 -1.7886 4.6315
1.7886 1.7886 -4.6315
Dy Ir Au
1 1 1
Cartesian
0.0000 0.0000 0.0000
0.0000 0.0000 6.0982
0.0000 0.0000 2.9813

=====

Decreasing stability: *B*, *A*

=====

*A*
PBE DyTmIrAu, optimized geometry; magnetic moment = 0.000 μB per formula unit; crystal system = cubic; space group = F-43m (216)
1.0
0.0000 3.4890 3.4890
3.4890 0.0000 3.4890
3.4890 3.4890 0.0000
Dy Tm Ir Au
1 1 1 1
Cartesian
0.0000 0.0000 0.0000
3.4890 3.4890 3.4890
1.7445 1.7445 1.7445
5.2336 5.2336 5.2336

=====

*B*
PBE DyTmIrAu, optimized geometry; magnetic moment = 0.000 μB per formula unit; crystal system = tetragonal; space group = P4mm (99)
1.0
3.4940 0.0000 0.0000
0.0000 3.4940 0.0000
0.0000 0.0000 7.0037
Dy Tm Ir Au
1 1 1 1
Cartesian
0.0000 0.0000 0.0000
0.0000 0.0000 3.2632
1.7470 1.7470 1.6589
1.7470 1.7470 5.0810

=====

Decreasing stability: *B*, *A*

=====

*A*
PBE La2DyAu, optimized geometry; magnetic moment = 0.000 μB per formula unit; crystal system = tetragonal; space group = P4/mmm (123)
1.0
3.8187 0.0000 0.0000
0.0000 3.8187 0.0000
0.0000 0.0000 8.4804
La Dy Au
2 1 1
Cartesian
0.0000 0.0000 1.8172
0.0000 0.0000 6.6631
1.9093 1.9093 4.2402
1.9093 1.9093 0.0000

=====

*B*
PBE La2DyAu, optimized geometry; magnetic moment = 0.000 μB per formula unit; crystal system = trigonal; space group = R-3m (166)
1.0
1.7992 1.0388 11.3601
-1.7992 1.0388 11.3601
0.0000 -2.0775 11.3601
La Dy Au
2 1 1
Cartesian
0.0000 0.0000 3.3342
0.0000 0.0000 30.7459
0.0000 0.0000 0.0000
0.0000 0.0000 17.0401

=====

Decreasing stability: *A*, *B*

=====

*A*
PBE La2DyAu, optimized geometry; magnetic moment = 0.000 μB per formula unit; crystal system = orthorhombic; space group = Pnma (62)
1.0
7.2548 0.0000 0.0000
0.0000 10.3937 0.0000
0.0000 0.0000 6.7411
La Dy Au
8 4 4
Cartesian
1.4413 0.5702 1.2020
1.4413 4.6267 1.2020
2.1861 5.7670 4.5725
2.1861 9.8235 4.5725
5.0687 0.5702 2.1686
5.0687 4.6267 2.1686
5.8135 5.7670 5.5392
5.8135 9.8235 5.5392
0.1825 2.5984 4.3125
3.4449 7.7953 0.9419
3.8098 2.5984 5.7992
7.0723 7.7953 2.4287
0.7410 7.7953 6.4016
2.8864 2.5984 3.0310
4.3684 7.7953 3.7101
6.5138 2.5984 0.3396

=====

*B*
PBE La2DyAu, optimized geometry; magnetic moment = 0.000 μB per formula unit; crystal system = trigonal; space group = R3m (160)
1.0
1.9204 1.1087 10.1585
-1.9204 1.1087 10.1585
0.0000 -2.2175 10.1585
La Dy Au
2 1 1
Cartesian
0.0000 0.0000 0.0000
0.0000 0.0000 5.7477
0.0000 0.0000 23.2216
0.0000 0.0000 18.0929

=====

Decreasing stability: *A*, *B*

=====

*A*
PBE LaDyZnAu, optimized geometry; magnetic moment = 0.007 μB per formula unit; crystal system = tetragonal; space group = P4mm (99)
1.0
3.6690 0.0000 0.0000
0.0000 3.6690 0.0000
0.0000 0.0000 7.3902
La Dy Zn Au
1 1 1 1
Cartesian
0.0000 0.0000 0.0000
0.0000 0.0000 3.6781
1.8345 1.8345 1.9925
1.8345 1.8345 5.2796

=====

*B*
PBE LaDyZnAu, optimized geometry; magnetic moment = 0.000 μB per formula unit; crystal system = cubic; space group = F-43m (216)
1.0
0.0000 3.6884 3.6884
3.6884 0.0000 3.6884
3.6884 3.6884 0.0000
La Dy Zn Au
1 1 1 1
Cartesian
0.0000 0.0000 0.0000
3.6884 3.6884 3.6884
1.8442 1.8442 1.8442
5.5325 5.5325 5.5325

=====

Decreasing stability: *A*, *B*

=====

*A*
PBE LiDyAu6, optimized geometry; magnetic moment = 0.000 μB per formula unit; crystal system = trigonal; space group = R-3m (166)
1.0
3.9007 2.2521 3.3229
-3.9007 2.2521 3.3229
0.0000 -4.5041 3.3229
Li Dy Au
1 1 6
Cartesian
0.0000 0.0000 0.0000
0.0000 0.0000 4.9843
-2.5039 -1.4456 4.5440
0.0000 -2.8912 5.4246
-2.5039 1.4456 5.4246
2.5039 -1.4456 4.5440
0.0000 2.8912 4.5440
2.5039 1.4456 5.4246

=====

*B*
PBE LiDyAu6, optimized geometry; magnetic moment = 0.000 μB per formula unit; crystal system = monoclinic; space group = C2/m (12)
1.0
4.7751 -2.0633 0.0000
4.7751 2.0633 0.0000
-3.6581 0.0000 7.5557
Li Dy Au
1 1 6
Cartesian
0.0000 0.0000 0.0000
-1.8291 0.0000 3.7778
1.0033 0.0000 2.7467
-0.8653 0.0000 6.6406
3.9220 0.0000 1.7686
1.9700 0.0000 5.7871
6.7573 0.0000 0.9151
4.8887 0.0000 4.8089

=====

Decreasing stability: *B*, *A*

=====

*A*
PBE LiDy2Au6, optimized geometry; magnetic moment = 0.000 μB per formula unit; crystal system = monoclinic; space group = C2/m (12)
1.0
2.5982 -7.8112 0.0000
2.5982 7.8112 0.0000
-2.5839 0.0000 4.4947
Li Dy Au
1 2 6
Cartesian
0.0000 0.0000 0.0000
1.3063 2.5449 2.2474
1.3063 -2.5449 2.2474
1.3238 5.2544 0.7551
1.2888 5.2544 3.7397
0.0345 0.0000 3.0438
2.5781 0.0000 1.4509
1.3238 -5.2544 0.7551
1.2888 -5.2544 3.7397

=====

*B*
PBE LiDy2Au6, optimized geometry; magnetic moment = 0.000 μB per formula unit; crystal system = trigonal; space group = P-3m1 (164)
1.0
6.2196 0.0000 0.0000
-3.1098 5.3864 0.0000
0.0000 0.0000 5.3560
Li Dy Au
1 2 6
Cartesian
0.0000 0.0000 0.0000
0.0000 3.5909 4.3641
3.1098 1.7955 0.9919
0.0000 1.9161 1.5941
-1.4505 4.4283 1.5941
1.6594 0.9580 3.7618
1.4504 4.4283 1.5941
4.5603 0.9580 3.7618
3.1098 3.4703 3.7618

=====

Decreasing stability: *A*, *B*

=====

*A*
PBE LiDy2Au3, optimized geometry; magnetic moment = 0.000 μB per formula unit; crystal system = monoclinic; space group = P2/m (10)
1.0
4.8901 0.0000 0.0000
0.0000 3.6023 0.0000
-2.4013 0.0000 7.4040
Li Dy Au
1 2 3
Cartesian
0.0000 0.0000 0.0000
0.0287 0.0000 5.0348
2.4600 0.0000 2.3691
0.0130 1.8012 2.5561
2.4450 1.8012 0.0000
2.4758 1.8012 4.8478

=====

*B*
PBE LiDy2Au3, optimized geometry; magnetic moment = 0.000 μB per formula unit; crystal system = trigonal; space group = P-3m1 (164)
1.0
4.9853 0.0000 0.0000
-2.4926 4.3174 0.0000
0.0000 0.0000 11.9480
Li Dy Au
2 4 6
Cartesian
0.0000 2.8783 2.0208
2.4926 1.4391 9.9272
0.0000 0.0000 0.0000
0.0000 0.0000 5.9740
0.0000 2.8783 8.1887
2.4926 1.4391 3.7593
0.0000 0.0000 2.9921
0.0000 0.0000 8.9559
0.0000 2.8783 5.0368
0.0000 2.8783 11.1814
2.4926 1.4391 0.7666
2.4926 1.4391 6.9112

=====

Decreasing stability: *B*, *A*

=====

*A*
PBE LiDyAu4, optimized geometry; magnetic moment = 0.000 μB per formula unit; crystal system = cubic; space group = F-43m (216)
1.0
0.0000 3.9227 3.9227
3.9227 0.0000 3.9227
3.9227 3.9227 0.0000
Li Dy Au
1 1 4
Cartesian
0.0000 0.0000 0.0000
5.8840 5.8840 5.8840
2.9383 2.9383 2.9383
4.9070 4.9070 2.9383
4.9070 2.9383 4.9070
2.9383 4.9070 4.9070

=====

*B*
PBE LiDyAu4, optimized geometry; magnetic moment = 0.000 μB per formula unit; crystal system = monoclinic; space group = C2/m (12)
1.0
2.5839 -4.4480 0.0000
2.5839 4.4480 0.0000
-0.0250 0.0000 5.1158
Li Dy Au
1 1 4
Cartesian
0.0000 0.0000 0.0000
2.5714 0.0000 2.5579
2.5714 3.0048 2.5579
2.5839 1.5141 0.0000
2.5839 -1.5141 0.0000
2.5714 -3.0048 2.5579

=====

Decreasing stability: *B*, *A*

=====

*A*
PBE LiDyZnAu, optimized geometry; magnetic moment = 0.000 μB per formula unit; crystal system = cubic; space group = F-43m (216)
1.0
0.0000 3.4075 3.4075
3.4075 0.0000 3.4075
3.4075 3.4075 0.0000
Li Dy Zn Au
1 1 1 1
Cartesian
0.0000 0.0000 0.0000
3.4075 3.4075 3.4075
5.1113 5.1113 5.1113
1.7038 1.7038 1.7038

=====

*B*
PBE LiDyZnAu, optimized geometry; magnetic moment = 0.000 μB per formula unit; crystal system = tetragonal; space group = I-4m2 (119)
1.0
-2.2735 2.2735 3.6798
2.2735 -2.2735 3.6798
2.2735 2.2735 -3.6798
Li Dy Zn Au
1 1 1 1
Cartesian
0.0000 0.0000 0.0000
0.0000 2.2735 1.8399
2.2735 0.0000 1.8399
0.0000 0.0000 3.6798

=====

Decreasing stability: *A*, *B*

=====

*A*
PBE DyLuAu, optimized geometry; magnetic moment = 0.866 μB per formula unit; crystal system = tetragonal; space group = I4mm (107)
1.0
-1.7825 1.7825 6.0542
1.7825 -1.7825 6.0542
1.7825 1.7825 -6.0542
Dy Lu Au
1 1 1
Cartesian
0.0000 0.0000 0.0000
0.0000 0.0000 3.5189
0.0000 0.0000 7.9247

=====

*B*
PBE DyLuAu, optimized geometry; magnetic moment = 0.001 μB per formula unit; crystal system = cubic; space group = F-43m (216)
1.0
0.0000 3.4790 3.4790
3.4790 0.0000 3.4790
3.4790 3.4790 0.0000
Dy Lu Au
1 1 1
Cartesian
0.0000 0.0000 0.0000
3.4790 3.4790 3.4790
5.2186 5.2186 5.2186

=====

*C*
PBE DyLuAu, optimized geometry; magnetic moment = 0.000 μB per formula unit; crystal system = trigonal; space group = P3m1 (156)
1.0
4.8630 0.0000 0.0000
-2.4315 4.2114 0.0000
0.0000 0.0000 3.7762
Dy Lu Au
1 1 1
Cartesian
0.0000 0.0000 0.0000
0.0000 2.8076 1.9686
2.4315 1.4038 1.1374

=====

Decreasing stability: *A*, *B*, *C*

=====

*A*
PBE DyLuAu2, optimized geometry; magnetic moment = 0.001 μB per formula unit; crystal system = tetragonal; space group = P4/mmm (123)
1.0
3.5367 0.0000 0.0000
0.0000 3.5367 0.0000
0.0000 0.0000 7.2262
Dy Lu Au
1 1 2
Cartesian
0.0000 0.0000 0.0000
0.0000 0.0000 3.6131
1.7683 1.7683 1.8907
1.7683 1.7683 5.3355

=====

*B*
PBE DyLuAu2, optimized geometry; magnetic moment = 0.000 μB per formula unit; crystal system = cubic; space group = Fm-3m (225)
1.0
0.0000 3.5660 3.5660
3.5660 0.0000 3.5660
3.5660 3.5660 0.0000
Dy Lu Au
1 1 2
Cartesian
0.0000 0.0000 0.0000
3.5660 3.5660 3.5660
1.7830 1.7830 1.7830
5.3490 5.3490 5.3490

=====

Decreasing stability: *A*, *B*